{"formula": "MgV2O4", "functional": "GGA+U", "state": "optimized geometry", "lattice": [[6.0593, 0.0000, 0.0000], [-3.0297, 5.2475, 0.0000], [0.0000, 0.0000, 14.8336]], "species": ["Mg", "Mg", "Mg", "Mg", "Mg", "Mg", "V", "V", "V", "V", "V", "V", "V", "V", "V", "V", "V", "V", "O", "O", "O", "O", "O", "O", "O", "O", "O", "O", "O", "O", "O", "O", "O", "O", "O", "O", "O", "O", "O", "O", "O", "O"], "frac_coords": [[0.0000, 0.0000, 0.0000], [0.0000, 0.0000, 0.2438], [0.0000, 0.0000, 0.6209], [0.3333, 0.6667, 0.2885], [0.3333, 0.6667, 0.9154], [0.6667, 0.3333, 0.5778], [0.0032, 0.5016, 0.1239], [0.1641, 0.3282, 0.4570], [0.1641, 0.8359, 0.4570], [0.3333, 0.6667, 0.6659], [0.3356, 0.1678, 0.7904], [0.4984, 0.5016, 0.1239], [0.4984, 0.9968, 0.1239], [0.6667, 0.3333, 0.3339], [0.6667, 0.3333, 0.9584], [0.6718, 0.8359, 0.4570], [0.8322, 0.1678, 0.7904], [0.8322, 0.6644, 0.7904], [0.0000, 0.0000, 0.3824], [0.0000, 0.0000, 0.8621], [0.0197, 0.5099, 0.3774], [0.1583, 0.3167, 0.7106], [0.1583, 0.8417, 0.7106], [0.1787, 0.3575, 0.1999], [0.1787, 0.8213, 0.1999], [0.3100, 0.1550, 0.5351], [0.3333, 0.6667, 0.0480], [0.3333, 0.6667, 0.5315], [0.3602, 0.1801, 0.0435], [0.4901, 0.5099, 0.3774], [0.4901, 0.9803, 0.3774], [0.5134, 0.0268, 0.8705], [0.5134, 0.4866, 0.8705], [0.6425, 0.8213, 0.1999], [0.6667, 0.3333, 0.2021], [0.6667, 0.3333, 0.7168], [0.6833, 0.8417, 0.7106], [0.8199, 0.1801, 0.0435], [0.8199, 0.6398, 0.0435], [0.8450, 0.1550, 0.5351], [0.8450, 0.6900, 0.5351], [0.9732, 0.4866, 0.8705]], "de_polymorph_kj_per_mol_atoms": 0.6}